one:
A plane-wave DFT calculation with PBE was carried out for crystalline PrTmNi4 at its relaxed geometry.

Unit cell a=5.4497 b=5.4497 c=8.0187 alpha=90.00 beta=90.00 gamma=120.00
Fractional positions:
1 Pr 0.0000 0.0000 0.0000
2 Pr 0.0000 0.0000 0.5000
3 Tm 0.3333 0.6667 0.0000
4 Tm 0.6667 0.3333 0.0000
5 Ni 0.0000 0.5000 0.2701
6 Ni 0.0000 0.5000 0.7299
7 Ni 0.3333 0.6667 0.5000
8 Ni 0.5000 0.0000 0.2701
9 Ni 0.5000 0.0000 0.7299
10 Ni 0.5000 0.5000 0.2701
11 Ni 0.5000 0.5000 0.7299
12 Ni 0.6667 0.3333 0.5000

***

two:
A plane-wave DFT calculation with PBE was carried out for crystalline PrTmNi4 at its relaxed geometry.

Unit cell a=5.0829 b=5.0829 c=5.0829 alpha=60.00 beta=60.00 gamma=60.00
Fractional positions:
1 Pr 0.0000 0.0000 0.0000
2 Tm 0.2500 0.2500 0.2500
3 Ni 0.1292 0.6236 0.6236
4 Ni 0.6236 0.1292 0.6236
5 Ni 0.6236 0.6236 0.1292
6 Ni 0.6236 0.6236 0.6236

***

two (30.4 kJ/mol of atoms below the next structure)

***

one:
A plane-wave DFT calculation with PBE was carried out for crystalline PrYNi4 at its relaxed geometry.

Unit cell a=5.4165 b=5.4165 c=8.2783 alpha=90.00 beta=90.00 gamma=120.00
Fractional positions:
1 Pr 0.3333 0.6667 0.0000
2 Pr 0.6667 0.3333 0.0000
3 Y 0.0000 0.0000 0.0000
4 Y 0.0000 0.0000 0.5000
5 Ni 0.0000 0.5000 0.2842
6 Ni 0.0000 0.5000 0.7158
7 Ni 0.3333 0.6667 0.5000
8 Ni 0.5000 0.0000 0.2842
9 Ni 0.5000 0.0000 0.7158
10 Ni 0.5000 0.5000 0.2842
11 Ni 0.5000 0.5000 0.7158
12 Ni 0.6667 0.3333 0.5000

***

two:
A plane-wave DFT calculation with PBE was carried out for crystalline PrYNi4 at its relaxed geometry.

Unit cell a=5.1212 b=5.1212 c=5.1212 alpha=60.00 beta=60.00 gamma=60.00
Fractional positions:
1 Pr 0.0000 0.0000 0.0000
2 Y 0.7500 0.7500 0.7500
3 Ni 0.3753 0.3753 0.3753
4 Ni 0.3753 0.3753 0.8741
5 Ni 0.3753 0.8741 0.3753
6 Ni 0.8741 0.3753 0.3753

***

two (44.1 kJ/mol of atoms below the next structure)

***

one:
A plane-wave DFT calculation with PBE was carried out for crystalline ScSiNiPt at its relaxed geometry.

Unit cell a=4.3606 b=4.3606 c=4.3606 alpha=60.00 beta=60.00 gamma=60.00
Fractional positions:
1 Sc 0.0000 0.0000 0.0000
2 Si 0.5000 0.5000 0.5000
3 Ni 0.7500 0.7500 0.7500
4 Pt 0.2500 0.2500 0.2500

***

two:
A plane-wave DFT calculation with PBE was carried out for crystalline ScSiNiPt at its relaxed geometry.

Unit cell a=4.4045 b=4.4045 c=4.4045 alpha=60.00 beta=60.00 gamma=60.00
Fractional positions:
1 Sc 0.0000 0.0000 0.0000
2 Si 0.2500 0.2500 0.2500
3 Ni 0.5000 0.5000 0.5000
4 Pt 0.7500 0.7500 0.7500

***

one (23.0 kJ/mol of atoms below the next structure)

***

one:
A plane-wave DFT calculation with PBE was carried out for crystalline ScTlNiPt at its relaxed geometry.

Unit cell a=4.6080 b=4.6080 c=4.6080 alpha=60.00 beta=60.00 gamma=60.00
Fractional positions:
1 Sc 0.0000 0.0000 0.0000
2 Tl 0.5000 0.5000 0.5000
3 Ni 0.7500 0.7500 0.7500
4 Pt 0.2500 0.2500 0.2500

***

two:
A plane-wave DFT calculation with PBE was carried out for crystalline ScTlNiPt at its relaxed geometry.

Unit cell a=4.6153 b=4.6153 c=4.6153 alpha=60.00 beta=60.00 gamma=60.00
Fractional positions:
1 Sc 0.0000 0.0000 0.0000
2 Tl 0.2500 0.2500 0.2500
3 Ni 0.5000 0.5000 0.5000
4 Pt 0.7500 0.7500 0.7500

***

one (13.1 kJ/mol of atoms below the next structure)

***

one:
A plane-wave DFT calculation with PBE was carried out for crystalline TaSiNiPt at its relaxed geometry.

Unit cell a=4.3497 b=4.3497 c=4.3497 alpha=60.00 beta=60.00 gamma=60.00
Fractional positions:
1 Ta 0.0000 0.0000 0.0000
2 Si 0.5000 0.5000 0.5000
3 Ni 0.7500 0.7500 0.7500
4 Pt 0.2500 0.2500 0.2500

***

two:
A plane-wave DFT calculation with PBE was carried out for crystalline TaSiNiPt at its relaxed geometry.

Unit cell a=4.3459 b=4.3459 c=4.3459 alpha=60.00 beta=60.00 gamma=60.00
Fractional positions:
1 Ta 0.0000 0.0000 0.0000
2 Si 0.2500 0.2500 0.2500
3 Ni 0.5000 0.5000 0.5000
4 Pt 0.7500 0.7500 0.7500

***

two (5.6 kJ/mol of atoms below the next structure)

***

one:
A plane-wave DFT calculation with PBE was carried out for crystalline TmNiSnPt at its relaxed geometry.

Unit cell a=4.4637 b=4.4637 c=8.7171 alpha=90.00 beta=90.00 gamma=120.00
Fractional positions:
1 Tm 0.3333 0.6667 0.0000
2 Tm 0.6667 0.3333 0.5000
3 Ni 0.3333 0.6667 0.6657
4 Ni 0.6667 0.3333 0.1657
5 Sn 0.0000 0.0000 0.2402
6 Sn 0.0000 0.0000 0.7402
7 Pt 0.3333 0.6667 0.3445
8 Pt 0.6667 0.3333 0.8445

***

two:
A plane-wave DFT calculation with PBE was carried out for crystalline TmNiSnPt at its relaxed geometry.

Unit cell a=4.4538 b=4.4538 c=8.7789 alpha=90.00 beta=90.00 gamma=120.00
Fractional positions:
1 Tm 0.3333 0.6667 0.2425
2 Tm 0.6667 0.3333 0.7575
3 Ni 0.3333 0.6667 0.9223
4 Ni 0.6667 0.3333 0.0777
5 Sn 0.0000 0.0000 0.0000
6 Sn 0.0000 0.0000 0.5000
7 Pt 0.3333 0.6667 0.6048
8 Pt 0.6667 0.3333 0.3952

***

one (1.0 kJ/mol of atoms below the next structure)

***

one:
A plane-wave DFT calculation with PBE was carried out for crystalline PuNiW at its relaxed geometry.

Unit cell a=4.2288 b=4.2288 c=4.2288 alpha=60.00 beta=60.00 gamma=60.00
Fractional positions:
1 Pu 0.0000 0.0000 0.0000
2 Ni 0.7500 0.7500 0.7500
3 W 0.5000 0.5000 0.5000

***

two:
A plane-wave DFT calculation with PBE was carried out for crystalline PuNiW at its relaxed geometry.

Unit cell a=4.2796 b=4.2796 c=4.2796 alpha=60.00 beta=60.00 gamma=60.00
Fractional positions:
1 Pu 0.0000 0.0000 0.0000
2 Ni 0.7500 0.7500 0.7500
3 W 0.2500 0.2500 0.2500

***

one (29.8 kJ/mol of atoms below the next structure)

***

one:
A plane-wave DFT calculation with PBE was carried out for crystalline Rb3Ni at its relaxed geometry.

Unit cell a=6.4346 b=6.4346 c=6.4346 alpha=60.00 beta=60.00 gamma=60.00
Fractional positions:
1 Rb 0.0000 0.0000 0.0000
2 Rb 0.2500 0.2500 0.2500
3 Rb 0.7500 0.7500 0.7500
4 Ni 0.5000 0.5000 0.5000

***

two:
A plane-wave DFT calculation with PBE was carried out for crystalline Rb3Ni at its relaxed geometry.

Unit cell a=5.7851 b=5.7851 c=5.7851 alpha=90.00 beta=90.00 gamma=90.00
Fractional positions:
1 Rb 0.0000 0.0000 0.5000
2 Rb 0.0000 0.5000 0.0000
3 Rb 0.5000 0.0000 0.0000
4 Ni 0.5000 0.5000 0.5000

***

three:
A plane-wave DFT calculation with PBE was carried out for crystalline Rb3Ni at its relaxed geometry.

Unit cell a=8.5188 b=8.5188 c=5.9317 alpha=90.00 beta=90.00 gamma=120.00
Fractional positions:
1 Rb 0.1849 0.3699 0.2500
2 Rb 0.1849 0.8151 0.2500
3 Rb 0.3699 0.1849 0.7500
4 Rb 0.6301 0.8151 0.2500
5 Rb 0.8151 0.1849 0.7500
6 Rb 0.8151 0.6301 0.7500
7 Ni 0.3333 0.6667 0.7500
8 Ni 0.6667 0.3333 0.2500

***

three (4.4 kJ/mol of atoms below the next structure)